1.
Compound: NiBSN2
Source: Alexandria via LeMat-Bulk
Functional: GGA-PBE
Structure: optimized geometry

a b c (Å): 3.3733 3.3733 8.0084
angles (deg): 90.00 90.00 90.00
Element x y z (fractional)
Ni (0.0000, 0.0000, 0.0000)
N (0.0000, 0.5000, 0.0000)
S (0.0000, 0.0000, 0.5000)
N (0.5000, 0.0000, 0.0000)
B (0.5000, 0.5000, 0.5000)

Summary:
- E above lowest polymorph: 0.868 eV per atom
- ΔE_f (raw): 1.733 eV/atom



2.
Compound: Sc2NiBN
Source: Alexandria via LeMat-Bulk
Functional: GGA-PBE
Structure: optimized geometry

a b c (Å): 4.5622 2.9783 4.5622
angles (deg): 90.00 90.00 90.00
Element x y z (fractional)
N (0.0000, 0.0000, 0.0000)
Ni (0.5000, 0.5000, 0.5000)
Sc (0.5000, 0.0000, 0.0000)
Sc (0.0000, 0.0000, 0.5000)
B (0.0000, 0.5000, 0.0000)

Summary:
- ΔE_f (raw): -0.518 eV/atom



3.
Compound: NiBSe2N
Source: Alexandria via LeMat-Bulk
Functional: GGA-PBE
Structure: optimized geometry

a b c (Å): 5.0636 5.0636 2.7192
angles (deg): 90.00 90.00 90.00
Element x y z (fractional)
N (0.0000, 0.0000, 0.5000)
Se (0.5000, 0.0000, 0.0000)
Ni (0.5000, 0.5000, 0.5000)
Se (0.0000, 0.5000, 0.0000)
B (0.0000, 0.0000, 0.0000)

Summary:
- E above lowest polymorph: 0.000 eV per atom
- ΔE_f (raw): 0.394 eV/atom